[1]
Here is a geometry-optimized K3CuC4N4 structure from Alexandria. Energies are from PBE-GGA.

Calculated values
- spin magnetization (μB/f.u.) = 0.18
- formation energy (no corrections) (eV per atom) = -0.243

a b c (Å): 8.0766 8.0766 8.0766
angles (deg): 75.53 75.53 75.53
With the nearest neighbours (Å) after each atom.
Fractional coordinates of all 24 atoms:
K: 0.1086 0.2745 0.6169  5 N 2.82-3.12, 1 C 3.08
K: 0.1169 0.7745 0.6086  5 N 2.82-3.12, 1 C 3.08
K: 0.2745 0.6169 0.1086  5 N 2.82-3.12, 1 C 3.08
K: 0.6086 0.1169 0.7745  5 N 2.82-3.12, 1 C 3.08
K: 0.6169 0.1086 0.2745  5 N 2.82-3.12, 1 C 3.08
K: 0.7745 0.6086 0.1169  5 N 2.82-3.12, 1 C 3.08
Cu: 0.1067 0.1067 0.1067  4 C 1.94-1.96
Cu: 0.6067 0.6067 0.6067  4 C 1.94-1.96
C: 0.1164 0.3417 0.9733  1 N 1.18
C: 0.3417 0.9733 0.1164  1 N 1.18
C: 0.4733 0.8417 0.6164  1 N 1.18
C: 0.4921 0.4921 0.4921  1 N 1.18
C: 0.6164 0.4733 0.8417  1 N 1.18
C: 0.8417 0.6164 0.4733  1 N 1.18
C: 0.9733 0.1164 0.3417  1 N 1.18
C: 0.9921 0.9921 0.9921  1 N 1.18
N: 0.1146 0.4849 0.8897  1 C 1.18
N: 0.3897 0.9849 0.6146  1 C 1.18
N: 0.4230 0.4230 0.4230  1 C 1.18
N: 0.4849 0.8897 0.1146  1 C 1.18
N: 0.6146 0.3897 0.9849  1 C 1.18
N: 0.8897 0.1146 0.4849  1 C 1.18
N: 0.9230 0.9230 0.9230  1 C 1.18
N: 0.9849 0.6146 0.3897  1 C 1.18

[2]
Here is a geometry-optimized Li3TbSc4Se8 structure from Alexandria. Energies are from PBE-GGA.

Calculated values
- spin magnetization (μB/f.u.) = 0.00
- formation energy (no corrections) (eV per atom) = -1.639

a b c (Å): 7.8849 7.8849 7.8849
angles (deg): 59.07 59.07 59.07
With the nearest neighbours (Å) after each atom.
Fractional coordinates of all 16 atoms:
Li: 0.0000 0.5000 0.5000  6 Se 2.78-2.80
Li: 0.5000 0.0000 0.5000  6 Se 2.78-2.80
Li: 0.5000 0.5000 0.0000  6 Se 2.78-2.80
Tb: 0.0000 0.0000 0.0000  6 Se 2.83
Sc: 0.0000 0.0000 0.5000  6 Se 2.74-2.76
Sc: 0.0000 0.5000 0.0000  6 Se 2.74-2.76
Sc: 0.5000 0.0000 0.0000  6 Se 2.74-2.76
Sc: 0.5000 0.5000 0.5000  6 Se 2.71
Se: 0.2472 0.2472 0.2472  3 Sc 2.74, 3 Li 2.80
Se: 0.2546 0.7444 0.7444  3 Sc 2.71-2.76, 2 Li 2.78, 1 Tb 2.83
Se: 0.2556 0.2556 0.7454  3 Sc 2.71-2.76, 2 Li 2.78, 1 Tb 2.83
Se: 0.2556 0.7454 0.2556  3 Sc 2.71-2.76, 2 Li 2.78, 1 Tb 2.83
Se: 0.7444 0.2546 0.7444  3 Sc 2.71-2.76, 2 Li 2.78, 1 Tb 2.83
Se: 0.7444 0.7444 0.2546  3 Sc 2.71-2.76, 2 Li 2.78, 1 Tb 2.83
Se: 0.7454 0.2556 0.2556  3 Sc 2.71-2.76, 2 Li 2.78, 1 Tb 2.83
Se: 0.7528 0.7528 0.7528  3 Sc 2.74, 3 Li 2.80

[3]
Here is a geometry-optimized Sm2BeGa2O7 structure from Alexandria. Energies are from PBE-GGA.

Calculated values
- spin magnetization (μB/f.u.) = 0.00
- formation energy (no corrections) (eV per atom) = -2.657

a b c (Å): 7.6761 7.6761 5.2151
angles (deg): 90.00 90.00 90.00
With the nearest neighbours (Å) after each atom.
Fractional coordinates of all 24 atoms:
Sm: 0.1654 0.3346 0.0209  6 O 2.36-2.46
Sm: 0.3346 0.8346 0.9791  6 O 2.36-2.46
Sm: 0.6654 0.1654 0.9791  6 O 2.36-2.46
Sm: 0.8346 0.6654 0.0209  6 O 2.36-2.46
Be: 0.0000 0.0000 0.5000  4 O 1.66
Be: 0.5000 0.5000 0.5000  4 O 1.66
Ga: 0.1519 0.6519 0.5281  4 O 1.84-1.87
Ga: 0.3481 0.1519 0.4719  4 O 1.84-1.87
Ga: 0.6519 0.8481 0.4719  4 O 1.84-1.87
Ga: 0.8481 0.3481 0.5281  4 O 1.84-1.87
O: 0.0000 0.5000 0.6986  2 Ga 1.87
O: 0.0970 0.8585 0.6940  1 Be 1.66, 1 Ga 1.86
O: 0.1359 0.6359 0.1770  1 Ga 1.84
O: 0.1415 0.0970 0.3060  1 Be 1.66, 1 Ga 1.86
O: 0.3585 0.5970 0.6940  1 Be 1.66, 1 Ga 1.86
O: 0.3641 0.1359 0.8230  1 Ga 1.84
O: 0.4030 0.3585 0.3060  1 Be 1.66, 1 Ga 1.86
O: 0.5000 0.0000 0.3014  2 Ga 1.87
O: 0.5970 0.6415 0.3060  1 Be 1.66, 1 Ga 1.86
O: 0.6359 0.8641 0.8230  1 Ga 1.84
O: 0.6415 0.4030 0.6940  1 Be 1.66, 1 Ga 1.86
O: 0.8585 0.9030 0.3060  1 Be 1.66, 1 Ga 1.86
O: 0.8641 0.3641 0.1770  1 Ga 1.84
O: 0.9030 0.1415 0.6940  1 Be 1.66, 1 Ga 1.86

[4]
Here is a geometry-optimized TmInAu4 structure from Alexandria. Energies are from PBE-GGA.

Calculated values
- spin magnetization (μB/f.u.) = 0.00
- ΔH_f (0 K) (eV per atom) = -0.52
- E above lowest polymorph (meV per atom) = 0

a b c (Å): 5.1242 5.1242 7.0878
angles (deg): 108.82 108.82 43.93
With the nearest neighbours (Å) after each atom.
Fractional coordinates of all 6 atoms:
Tm: 0.0000 0.0000 0.0000  10 Au 2.97-3.01
In: 0.0000 0.0000 0.5000  10 Au 2.98-3.03
Au: 0.3341 0.3341 0.1644  5 Au 2.95-3.01, 3 Tm 2.97-2.98, 2 In 3.03
Au: 0.3352 0.3352 0.6699  5 Au 2.95-3.06, 3 In 2.98-2.99, 2 Tm 3.01
Au: 0.6648 0.6648 0.3301  5 Au 2.95-3.06, 3 In 2.98-2.99, 2 Tm 3.01
Au: 0.6659 0.6659 0.8356  5 Au 2.95-3.01, 3 Tm 2.97-2.98, 2 In 3.03

no.,electronic total energy (eV per atom)
1,-6.71
2,-5.61
3,-7.15
4,-3.91